## LiTb4Ru2 (PBE-GGA)

Data for a relaxed LiTb4Ru2 crystal.

Properties
ΔH_f (0 K) (eV per atom): -0.2773
Space group: R-3m (166)

Geometry as POSCAR:
```
LiTb4Ru2
1.0
0.656 -4.675 1.288
1.618 -3.240 -3.290
8.130 -1.038 1.383
Li Tb Ru
1 4 2
direct
0.000 0.000 0.000
0.379 0.379 0.862
0.871 0.871 0.386
0.129 0.129 0.614
0.621 0.621 0.138
0.253 0.253 0.242
0.747 0.747 0.758
```



## CeCoH (PBE-GGA)

Data for a relaxed CeCoH crystal.

Properties
Space group: Cc (9)

Geometry as POSCAR:
```
CeCoH
1.0
-1.044 3.288 -1.938
0.148 -1.057 -3.742
-5.729 -1.123 2.112
H Ce Co
2 2 2
direct
0.086 0.581 0.998
0.586 0.204 0.242
0.266 0.851 0.375
0.766 0.096 0.865
0.817 0.342 0.460
0.316 0.502 0.780
```



## RbHg2Pt2 (PBE-GGA)

Data for a relaxed RbHg2Pt2 crystal.

Properties
ΔH_f (0 K) (eV per atom): 0.0013
Space group: P4/mbm (127)

Geometry as POSCAR:
```
RbHg2Pt2
1.0
8.601 0.000 0.000
0.000 8.601 0.000
0.000 0.000 2.990
Rb Pt Hg
2 4 4
direct
0.000 0.000 0.000
0.500 0.500 0.000
0.333 0.167 0.500
0.833 0.333 0.500
0.667 0.833 0.500
0.167 0.667 0.500
0.870 0.630 0.000
0.130 0.370 0.000
0.630 0.130 0.000
0.370 0.870 0.000
```



## Li6Sn3Hg (PBE-GGA)

Data for a relaxed Li6Sn3Hg crystal.

Properties
ΔH_f (0 K) (eV per atom): -0.2542
Space group: Cmc2_1 (36)

Geometry as POSCAR:
```
Li6Sn3Hg
1.0
-6.806 -2.440 -0.358
0.613 -0.583 -7.660
2.418 -7.039 1.997
Li Sn Hg
12 6 2
direct
0.808 0.941 0.610
0.122 0.347 0.300
0.308 0.059 0.390
0.308 0.610 0.941
0.622 0.300 0.347
0.622 0.653 0.700
0.199 0.716 0.284
0.211 0.967 0.033
0.122 0.700 0.653
0.711 0.033 0.967
0.699 0.284 0.716
0.808 0.390 0.059
0.848 0.626 0.374
0.348 0.374 0.626
0.415 0.284 0.016
0.415 0.984 0.716
0.915 0.016 0.284
0.915 0.716 0.984
0.536 0.805 0.195
0.036 0.195 0.805
```



For reference, E_tot by record: -40.93 -17.42 -13.65 -26.34 eV/f.u..